Record 1
Here is an optimized crystal structure of YErTeO6 from the Alexandria database. Energies are from GGA-PBE.

Cell and atoms, written as POSCAR:
```
YErTeO6
1.0
5.522 0.000 0.000
-2.761 4.782 0.000
0.000 0.000 9.502
Y Er Te O
2 2 2 12
Cartesian
0.000 0.000 0.000 Y
0.000 0.000 4.751 Y
0.000 3.188 2.376 Er
2.761 1.594 7.127 Er
0.000 3.188 7.127 Te
2.761 1.594 2.376 Te
-0.804 1.775 6.035 O
-1.626 3.199 8.219 O
0.804 1.775 8.219 O
-0.822 4.591 6.035 O
1.939 0.192 1.284 O
1.135 1.584 3.468 O
1.626 3.199 6.035 O
0.822 4.591 8.219 O
3.583 0.192 3.468 O
1.957 3.007 1.284 O
4.387 1.584 1.284 O
3.565 3.007 3.468 O
```

Computed properties:
Formation energy (no corrections) in eV per formula unit: -22.218
Space group: P-31c, No. 163

---

Record 2
Here is an optimized crystal structure of ScPt3F from the Alexandria database. Energies are from GGA-PBE.

Cell and atoms, written as POSCAR:
```
ScPt3F
1.0
4.849 0.000 0.000
0.000 4.849 0.000
0.000 0.000 4.849
Sc Pt F
1 3 1
Cartesian
0.000 0.000 0.000 Sc
0.000 0.000 2.424 Pt
0.000 2.424 0.000 Pt
2.424 0.000 0.000 Pt
2.424 2.424 2.424 F
```

Computed properties:
Excess energy over the best structure of this formula in the dataset in meV per atom: 763
Formation energy (no corrections) in eV per formula unit: 3.620
Space group: Pm-3m, No. 221

---

Record 3
Here is an optimized crystal structure of ScGeRu from the Alexandria database. Energies are from GGA-PBE.

Cell and atoms, written as POSCAR:
```
ScGeRu
1.0
6.987 0.000 0.000
-3.493 6.051 0.000
0.000 0.000 3.492
Sc Ge Ru
3 3 3
Cartesian
-2.089 3.618 0.000 Sc
1.404 2.432 0.000 Sc
4.178 0.000 0.000 Sc
0.000 0.000 0.000 Ge
0.000 4.034 1.746 Ge
3.493 2.017 1.746 Ge
-0.885 1.533 1.746 Ru
1.770 0.000 1.746 Ru
2.608 4.518 1.746 Ru
```

Computed properties:
Calculated formation energy in kJ/mol of atoms: -76.6
Space group: P-62m, No. 189

---

Record 4
Here is an optimized crystal structure of Pr5SnTe4 from the Alexandria database. Energies are from GGA-PBE.

Cell and atoms, written as POSCAR:
```
Pr5SnTe4
1.0
-5.090 5.090 3.205
5.090 -5.090 3.205
5.090 5.090 -3.205
Pr Sn Te
5 1 4
Cartesian
0.000 0.000 0.000 Pr
6.089 2.103 0.000 Pr
2.103 4.090 0.000 Pr
2.986 1.000 3.205 Pr
-1.000 2.986 3.205 Pr
0.000 0.000 3.205 Sn
3.065 1.000 0.000 Te
4.090 -2.025 3.205 Te
1.000 7.114 0.000 Te
2.025 4.090 3.205 Te
```

Computed properties:
Formation energy (no corrections) in eV per formula unit: -13.481
Space group: I4/m, No. 87

---

Record 5
Here is an optimized crystal structure of Rb2Hg5Bi3 from the Alexandria database. Energies are from GGA-PBE.

Cell and atoms, written as POSCAR:
```
Rb2Hg5Bi3
1.0
8.335 -6.192 0.000
8.335 6.192 0.000
-3.322 0.000 6.699
Rb Hg Bi
4 10 6
Cartesian
3.351 3.255 5.868 Rb
8.337 3.255 4.181 Rb
5.012 -3.255 2.519 Rb
9.998 -3.255 0.831 Rb
5.844 6.166 5.025 Hg
5.087 1.831 2.580 Hg
4.489 0.037 0.172 Hg
2.828 -0.037 3.521 Hg
9.923 1.831 0.770 Hg
3.426 -1.831 5.929 Hg
10.521 0.037 3.178 Hg
8.860 -0.037 6.528 Hg
8.262 -1.831 4.120 Hg
7.505 -6.166 1.675 Hg
0.184 1.431 4.278 Bi
1.845 -1.431 0.929 Bi
7.505 0.000 1.675 Bi
5.844 0.000 5.025 Bi
11.503 1.431 5.771 Bi
13.164 -1.431 2.421 Bi
```

Computed properties:
Calculated formation energy in kJ/mol of atoms: -17.3
Space group: C2/c, No. 15

---

Record 6
Here is an optimized crystal structure of La4GaSb from the Alexandria database. Energies are from GGA-PBE.

Cell and atoms, written as POSCAR:
```
La4GaSb
1.0
0.000 7.345 7.345
7.345 0.000 7.345
7.345 7.345 0.000
La Ga Sb
16 4 4
Cartesian
3.672 3.672 0.752 La
3.672 0.752 3.672 La
6.592 3.672 3.672 La
9.052 5.637 5.637 La
7.345 7.345 2.806 La
7.345 2.806 7.345 La
11.883 7.345 7.345 La
0.752 3.672 3.672 La
3.672 6.592 3.672 La
3.672 3.672 6.592 La
5.637 9.052 5.637 La
5.637 5.637 9.052 La
9.052 9.052 9.052 La
2.806 7.345 7.345 La
7.345 11.883 7.345 La
7.345 7.345 11.883 La
5.809 5.809 5.809 Ga
8.880 8.880 5.809 Ga
8.880 5.809 8.880 Ga
5.809 8.880 8.880 Ga
12.428 9.605 9.605 Sb
9.605 12.428 9.605 Sb
9.605 9.605 12.428 Sb
12.428 12.428 12.428 Sb
```

Computed properties:
Excess energy over the best structure of this formula in the dataset in meV per atom: 54
Formation energy (no corrections) in eV per formula unit: -3.355
Space group: F-43m, No. 216

---

Record 7
Here is an optimized crystal structure of TiP2CO from the Alexandria database. Energies are from GGA-PBE.

Cell and atoms, written as POSCAR:
```
TiP2CO
1.0
4.814 0.000 0.000
0.000 4.814 0.000
0.000 0.000 3.647
Ti P C O
1 2 1 1
Cartesian
0.000 0.000 0.000 Ti
0.000 2.407 0.000 P
2.407 0.000 0.000 P
2.407 2.407 1.823 C
0.000 0.000 1.823 O
```

Computed properties:
Excess energy over the best structure of this formula in the dataset in meV per atom: 336
Formation energy (no corrections) in eV per formula unit: 4.364
Space group: P4/mmm, No. 123

---

Record 8
Here is an optimized crystal structure of YThCoHg from the Alexandria database. Energies are from GGA-PBE.

Cell and atoms, written as POSCAR:
```
YThCoHg
1.0
3.393 -1.964 0.000
3.393 1.964 0.000
-2.256 0.000 7.773
Y Th Co Hg
1 1 1 1
Cartesian
0.000 0.000 0.000 Y
0.002 0.000 4.781 Th
2.266 0.000 6.164 Co
4.523 0.000 2.303 Hg
```

Computed properties:
Calculated formation energy in kJ/mol of atoms: -27.2
Space group: Cm, No. 8

---

Magnetic moment? In order: 0.00, 0.00, 0.00, 0.00, 0.00, 0.01, 0.13, 0.00 μB per cell.